(1)
Gd2ErTmMg2 | PBE | optimized geometry

Summary:
Energy   -3.63 eV per atom
Volume   171 Å³ per cell
Calculated density   6.77 g/cm3
M_tot   0.3 μB/f.u.

abc: 5.4789 8.8502 8.8502
angles: 23.55 90.00 90.00
Element x y z (fractional)
Er1 0.0000 0.7742 0.7742
Gd1 0.0000 0.0957 0.0957
Gd2 0.5000 0.9040 0.9040
Mg1 0.0000 0.4362 0.4362
Mg2 0.5000 0.5643 0.5643
Tm1 0.5000 0.2255 0.2255

***

(2)
Ba2CuPtS6 | PBE | optimized geometry

Summary:
Energy   -4.55 eV per atom
Volume   222 Å³ per cell
Calculated density   5.43 g/cm3
M_tot   0.4 μB/f.u.

abc: 6.7952 6.7952 6.7952
angles: 60.00 60.00 90.00
Element x y z (fractional)
Ba1 0.7500 0.2500 0.5000
Ba2 0.2500 0.7500 0.5000
Cu1 0.0000 0.0000 0.0000
Pt1 0.5000 0.5000 0.0000
S1 0.2489 0.2489 0.0000
S2 0.7511 0.2489 0.0000
S3 0.2489 0.7511 0.0000
S4 0.7511 0.7511 0.0000
S5 0.7511 0.7511 0.4977
S6 0.2489 0.2489 0.5023

***

(3)
CsHgPt | PBE | optimized geometry

Summary:
Energy above the most stable polymorph in this dataset   0.482 eV per atom
Volume   140 Å³ per cell
Calculated density   6.25 g/cm3
M_tot   1.0 μB/f.u.

abc: 5.8333 5.8333 5.8333
angles: 60.00 60.00 60.00
Element x y z (fractional)
Cs1 0.0000 0.0000 0.0000
Hg1 0.2500 0.2500 0.2500
Pt1 0.7500 0.7500 0.7500

***

(4)
LiPrB4 | PBE | optimized geometry

Summary:
Energy above the most stable polymorph in this dataset   0.001 eV per atom
Volume   60 Å³ per cell
Calculated density   5.31 g/cm3
M_tot   0.0 μB/f.u.

abc: 3.2656 3.2656 6.4755
angles: 90.00 90.00 120.00
Element x y z (fractional)
B1 0.6667 0.3333 0.3204
B2 0.3333 0.6667 0.3204
B3 0.6667 0.3333 0.6796
B4 0.3333 0.6667 0.6796
Li1 0.0000 0.0000 0.5000
Pr1 0.0000 0.0000 0.0000

***

(5)
Ho3AsP2 | PBE | optimized geometry

Summary:
Energy   -6.45 eV per atom
Volume   138 Å³ per cell
Calculated density   7.59 g/cm3
M_tot   0.0 μB/f.u.

abc: 4.0228 4.0228 9.8663
angles: 90.00 90.00 120.00
Element x y z (fractional)
As1 0.0000 0.0000 0.5000
Ho1 0.0000 0.0000 0.0000
Ho2 0.3333 0.6667 0.3269
Ho3 0.6667 0.3333 0.6731
P1 0.6667 0.3333 0.1642
P2 0.3333 0.6667 0.8358

***

(6)
Pa2GeOs | PBE | optimized geometry

Summary:
Energy   -9.19 eV per atom
Volume   178 Å³ per cell
Calculated density   13.52 g/cm3
M_tot   0.0 μB/f.u.

abc: 5.8567 3.9980 8.0663
angles: 90.00 109.52 90.00
Element x y z (fractional)
Ge1 0.3695 0.7500 0.1980
Ge2 0.6305 0.2500 0.8020
Os1 0.1177 0.2500 0.3009
Os2 0.8823 0.7500 0.6991
Pa1 0.8161 0.7500 0.0960
Pa2 0.7257 0.2500 0.4403
Pa3 0.2743 0.7500 0.5597
Pa4 0.1839 0.2500 0.9040